Entry from Alexandria: an optimized crystal structure of V2BTe (PBE).

It has space group Fm-3m (No. 225), with a = 6.0609 Å, b = 6.0609 Å, c = 6.0609 Å, α = 90.00°, β = 90.00° and γ = 90.00°. The inequivalent atoms are V at (0.2500, 0.2500, 0.2500), B at (0.0000, 0.0000, 0.0000) and Te at (0.0000, 0.0000, 0.5000).

The calculation puts the raw formation energy at 0.57 eV per atom. Its relative energy among the computed polymorphs is 100 meV per atom.

***

Entry from Alexandria: an optimized crystal structure of PuCuO3 (PBE).

It has space group Pm-3m (No. 221), with a = 3.7964 Å, b = 3.7964 Å, c = 3.7964 Å, α = 90.00°, β = 90.00° and γ = 90.00°. The inequivalent atoms are Pu at (0.0000, 0.0000, 0.0000), Cu at (0.5000, 0.5000, 0.5000) and O at (0.0000, 0.5000, 0.5000).

The calculation puts the raw formation energy at -1.14 eV per atom.

***

Entry from Alexandria: an optimized crystal structure of PmHo3Tm2Te6 (PBE).

It has space group C2/m (No. 12), with a = 18.8772 Å, b = 4.3075 Å, c = 8.7641 Å, α = 90.00°, β = 101.92° and γ = 90.00°. The inequivalent atoms are Pm at (0.0000, 0.0000, 0.0000), Ho at (0.0000, 0.0000, 0.5000), Ho at (0.1591, 0.5000, 0.8362), Tm at (0.1635, 0.5000, 0.3325), Te at (0.0029, 0.5000, 0.2591), Te at (0.1690, 0.0000, 0.5852) and Te at (0.1728, 0.0000, 0.0916).

The calculation puts the raw formation energy at -1.25 eV per atom.

***

Entry from Alexandria: an optimized crystal structure of Re3NCl (PBE).

It has space group Pm-3m (No. 221), with a = 4.1282 Å, b = 4.1282 Å, c = 4.1282 Å, α = 90.00°, β = 90.00° and γ = 90.00°. The inequivalent atoms are Re at (0.0000, 0.0000, 0.5000), N at (0.0000, 0.0000, 0.0000) and Cl at (0.5000, 0.5000, 0.5000).

The calculation puts the raw formation energy at 1.32 eV per atom. Its relative energy among the computed polymorphs is 0 meV per atom.

***

Entry from Alexandria: an optimized crystal structure of Ce8Os2Au (PBE).

It has space group Cm (No. 8), with a = 8.2584 Å, b = 12.9256 Å, c = 5.4859 Å, α = 90.00°, β = 107.31° and γ = 90.00°. The inequivalent atoms are Ce at (0.0000, 0.0000, 0.0000), Ce at (0.0943, 0.2602, 0.8229), Ce at (0.1910, 0.0000, 0.6463), Ce at (0.3003, 0.3921, 0.3930), Ce at (0.3905, 0.1078, 0.2527), Os at (0.0958, 0.2068, 0.3239) and Au at (0.0955, 0.5000, 0.8230).

Its relative energy among the computed polymorphs is 24 meV per atom.

***

Entry from Alexandria: an optimized crystal structure of HgPb2Br (PBE).

It has space group R3m (No. 160, hexagonal axes), with a = 4.7162 Å, b = 4.7162 Å, c = 21.2946 Å, α = 90.00°, β = 90.00° and γ = 120.00°. The inequivalent atoms are Hg at (0.0000, 0.0000, 0.0000), Pb at (0.0000, 0.0000, 0.4020), Pb at (0.0000, 0.0000, 0.6047) and Br at (0.0000, 0.0000, 0.1637).

The calculation puts the raw formation energy at -0.14 eV per atom. Its relative energy among the computed polymorphs is 61 meV per atom.